Entry 1:
PPtW3: optimized geometry, PBE-GGA.

Density of states at the Fermi level = 0.9951 states/eV/atom
Formation enthalpy at 0 K = 11.73 eV/f.u.
Space group = Pm-3m, No. 221
ΔE to the lowest computed polymorph = 1501.2 meV per atom
V = 109.7 Å³ per cell

a b c (Å): 4.7870 4.7870 4.7870
angles (deg): 90.00 90.00 90.00
Last column: nearest neighbours and their distance in Å.
Fractional coordinates of all 5 atoms:
1 P 0.0000 0.0000 0.0000  12 W 3.38
2 Pt 0.5000 0.5000 0.5000  6 W 2.39
3 W 0.0000 0.5000 0.5000  2 Pt 2.39
4 W 0.5000 0.0000 0.5000  2 Pt 2.39
5 W 0.5000 0.5000 0.0000  2 Pt 2.39

Entry 2:
PPt4W: optimized geometry, PBE-GGA.

Density of states at the Fermi level = 1.1372 states/eV/atom
Formation enthalpy at 0 K = 3.40 eV/f.u.
Space group = F-43m, No. 216
V = 100.2 Å³ per cell

a b c (Å): 5.2141 5.2141 5.2141
angles (deg): 60.00 60.00 60.00
Last column: nearest neighbours and their distance in Å.
Fractional coordinates of all 6 atoms:
1 P 0.0000 0.0000 0.0000  12 Pt 3.06, 4 W 3.19
2 Pt 0.1259 0.6247 0.6247  6 Pt 2.60-2.61
3 Pt 0.6247 0.1259 0.6247  6 Pt 2.60-2.61
4 Pt 0.6247 0.6247 0.1259  6 Pt 2.60-2.61
5 Pt 0.6247 0.6247 0.6247  6 Pt 2.60-2.61
6 W 0.2500 0.2500 0.2500  12 Pt 3.06, 4 P 3.19

Entry 3:
PPtW: optimized geometry, PBE-GGA.

Density of states at the Fermi level = 0.6931 states/eV/atom
Formation enthalpy at 0 K = -0.33 eV/f.u.
Space group = I4mm, No. 107
ΔE to the lowest computed polymorph = 0.0 meV per atom
V = 44.4 Å³ per cell

a b c (Å): 5.2907 5.2907 5.2907
angles (deg): 146.71 146.71 47.79
Last column: nearest neighbours and their distance in Å.
Fractional coordinates of all 3 atoms:
1 P 0.0000 0.0000 0.0000  4 W 2.48, 4 Pt 2.74
2 Pt 0.6770 0.6770 0.0000  4 P 2.74, 5 W 2.85-2.95, 4 Pt 3.03
3 W 0.3717 0.3717 0.0000  4 P 2.48

Entry 4:
PPtW2: optimized geometry, PBE-GGA.

Density of states at the Fermi level = 0.7183 states/eV/atom
Formation enthalpy at 0 K = 0.95 eV/f.u.
Space group = C2/m, No. 12
V = 61.0 Å³ per cell

a b c (Å): 4.9440 4.9440 2.7939
angles (deg): 96.73 96.73 113.93
Last column: nearest neighbours and their distance in Å.
Fractional coordinates of all 4 atoms:
1 P 0.0000 0.0000 0.0000  8 W 2.69-2.98, 2 Pt 2.70, 2 P 2.79
2 Pt 0.5000 0.5000 0.0000  8 W 2.69-2.98, 2 P 2.70, 2 Pt 2.79
3 W 0.0000 0.5000 0.5000  4 Pt 2.69-2.98, 4 P 2.69-2.98, 4 W 2.70-2.79
4 W 0.5000 0.0000 0.5000  4 Pt 2.69-2.98, 4 P 2.69-2.98, 4 W 2.70-2.79

Entry 5:
YPPt3: optimized geometry, PBE-GGA.

Density of states at the Fermi level = 0.4832 states/eV/atom
Formation enthalpy at 0 K = -5.05 eV/f.u.
Space group = I4mm, No. 107
ΔE to the lowest computed polymorph = 0.0 meV per atom
V = 88.4 Å³ per cell

a b c (Å): 6.1841 6.1841 6.1841
angles (deg): 142.16 142.16 54.58
Last column: nearest neighbours and their distance in Å.
Fractional coordinates of all 5 atoms:
1 Y 0.0000 0.0000 0.0000  8 Pt 2.98-3.29, 4 P 3.13
2 P 0.6212 0.6212 0.0000  5 Pt 2.24-2.38
3 Pt 0.2373 0.7373 0.5000  2 P 2.38
4 Pt 0.4173 0.4173 0.0000  1 P 2.24
5 Pt 0.7373 0.2373 0.5000  2 P 2.38

Entry 6:
YPPt2: optimized geometry, PBE-GGA.

Density of states at the Fermi level = 0.4397 states/eV/atom
Formation enthalpy at 0 K = -3.78 eV/f.u.
Space group = Pmmm, No. 47
V = 80.5 Å³ per cell

a b c (Å): 3.8347 3.9489 5.3171
angles (deg): 90.00 90.00 90.00
Last column: nearest neighbours and their distance in Å.
Fractional coordinates of all 4 atoms:
1 Y 0.0000 0.0000 0.0000  8 Pt 3.05, 4 P 3.28
2 P 0.5000 0.0000 0.5000  4 Pt 2.38
3 Pt 0.5000 0.5000 0.2489  2 P 2.38, 1 Pt 2.65
4 Pt 0.5000 0.5000 0.7511  2 P 2.38, 1 Pt 2.65

Entry 7:
YPPt2: optimized geometry, PBE-GGA.

Density of states at the Fermi level = 0.3786 states/eV/atom
Formation enthalpy at 0 K = -2.87 eV/f.u.
Space group = P4mm, No. 99
V = 75.1 Å³ per cell

a b c (Å): 3.4791 3.4791 6.2068
angles (deg): 90.00 90.00 90.00
Last column: nearest neighbours and their distance in Å.
Fractional coordinates of all 4 atoms:
1 Y 0.0000 0.0000 0.0000  5 Pt 2.89-2.96
2 P 0.5000 0.5000 0.3697  5 Pt 2.40-2.55
3 Pt 0.0000 0.0000 0.4761  4 P 2.55
4 Pt 0.5000 0.5000 0.7556  1 P 2.40

Entry 8:
YP2Pt: optimized geometry, PBE-GGA.

Density of states at the Fermi level = 0.4994 states/eV/atom
Formation enthalpy at 0 K = -3.65 eV/f.u.
Space group = P2/m, No. 10
ΔE to the lowest computed polymorph = 157.0 meV per atom
V = 77.8 Å³ per cell

a b c (Å): 4.1074 3.8870 4.8884
angles (deg): 90.00 94.11 90.00
Last column: nearest neighbours and their distance in Å.
Fractional coordinates of all 4 atoms:
1 Y 0.0000 0.0000 0.0000  4 P 2.83, 2 Pt 3.08
2 P 0.4045 0.5000 0.7762  1 P 2.27, 2 Pt 2.41
3 P 0.5955 0.5000 0.2238  1 P 2.27, 2 Pt 2.41
4 Pt 0.5000 0.0000 0.5000  4 P 2.41

Which value of density of states at the Fermi level does entry 8 give?
0.4994 states/eV/atom

What is the formula in the fourth record?
PPtW2

Which value of V does entry 8 give?
77.8 Å³ per cell

What is the V in the second record?
100.2 Å³ per cell